[1]
## SrNiAs2 (SCAN)

Data for SrNiAs2 at its PBEsol-relaxed geometry.

CIF file:
```
data_SrNiAs2
_cell_length_a 4.144
_cell_length_b 4.144
_cell_length_c 8.993
_cell_angle_alpha 90.00
_cell_angle_beta 90.00
_cell_angle_gamma 90.00
_symmetry_space_group_name_H-M 'I -4 m 2'
_symmetry_Int_Tables_number 119
_symmetry_space_group_name_Hall 'I -4 -2'
loop_
_atom_site_label
_atom_site_type_symbol
_atom_site_fract_x
_atom_site_fract_y
_atom_site_fract_z
_atom_site_occupancy
Sr1 Sr 0.000 0.000 0.000 1
Ni1 Ni 0.000 0.500 0.750 1
As1 As 0.000 0.000 0.500 1
As2 As 0.000 0.500 0.250 1
```

Computed properties:
- Energy of formation: 20 meV per atom

=====

[2]
## Ca2RhBr (SCAN)

Data for Ca2RhBr at its PBEsol-relaxed geometry.

CIF file:
```
data_Ca2RhBr
_cell_length_a 3.444
_cell_length_b 3.444
_cell_length_c 7.584
_cell_angle_alpha 90.00
_cell_angle_beta 90.00
_cell_angle_gamma 90.00
_symmetry_space_group_name_H-M 'P 4/m m m'
_symmetry_Int_Tables_number 123
_symmetry_space_group_name_Hall '-P 4 2'
loop_
_atom_site_label
_atom_site_type_symbol
_atom_site_fract_x
_atom_site_fract_y
_atom_site_fract_z
_atom_site_occupancy
Ca1 Ca 0.000 0.000 0.216 1
Rh1 Rh 0.500 0.500 0.000 1
Br1 Br 0.500 0.500 0.500 1
```

Computed properties:
- E_form (uncorrected): -1.027 eV per atom
- Excess energy over the best structure of this formula in the dataset: 0.00 eV per formula unit

=====

[3]
## Sr3Au (SCAN)

Data for Sr3Au at its PBEsol-relaxed geometry.

CIF file:
```
data_Sr3Au
_cell_length_a 3.885
_cell_length_b 3.885
_cell_length_c 10.048
_cell_angle_alpha 90.00
_cell_angle_beta 90.00
_cell_angle_gamma 90.00
_symmetry_space_group_name_H-M 'P 4/m m m'
_symmetry_Int_Tables_number 123
_symmetry_space_group_name_Hall '-P 4 2'
loop_
_atom_site_label
_atom_site_type_symbol
_atom_site_fract_x
_atom_site_fract_y
_atom_site_fract_z
_atom_site_occupancy
Sr1 Sr 0.000 0.000 0.000 1
Sr2 Sr 0.500 0.500 0.324 1
Au1 Au 0.000 0.000 0.500 1
```

Computed properties:
- Energy of formation: -462 meV per atom

=====

[4]
## Ti5FeP6O24 (SCAN)

Data for Ti5FeP6O24 at its PBEsol-relaxed geometry.

CIF file:
```
data_Ti5FeP6O24
_cell_length_a 8.6456
_cell_length_b 8.6456
_cell_length_c 19.6681
_cell_angle_alpha 90.00
_cell_angle_beta 90.00
_cell_angle_gamma 120.00
_symmetry_space_group_name_H-M 'R 3'
_symmetry_Int_Tables_number 146
_symmetry_space_group_name_Hall 'R 3'
loop_
_atom_site_label
_atom_site_type_symbol
_atom_site_fract_x
_atom_site_fract_y
_atom_site_fract_z
_atom_site_occupancy
Ti1 Ti 0.0000 0.0000 0.0000 1
Ti2 Ti 0.0000 0.0000 0.1352 1
Ti3 Ti 0.0000 0.0000 0.2740 1
Ti4 Ti 0.0000 0.0000 0.6366 1
Ti5 Ti 0.0000 0.0000 0.7748 1
Fe1 Fe 0.0000 0.0000 0.5024 1
P1 P 0.9998 0.2829 0.3893 1
P2 P 0.0435 0.6715 0.5529 1
O1 O 0.0038 0.1906 0.4528 1
O2 O 0.0105 0.8126 0.9498 1
O3 O 0.0155 0.1869 0.0651 1
O4 O 0.0156 0.8335 0.5657 1
O5 O 0.1495 0.6839 0.4896 1
O6 O 0.1533 0.4707 0.9906 1
O7 O 0.1622 0.6828 0.8738 1
O8 O 0.1644 0.4747 0.3753 1
```

Computed properties:
- E_form (uncorrected): -2.667 eV per atom

=====

[5]
## LaTaCr2 (SCAN)

Data for LaTaCr2 at its PBEsol-relaxed geometry.

CIF file:
```
data_LaTaCr2
_cell_length_a 3.1081
_cell_length_b 3.1081
_cell_length_c 23.8957
_cell_angle_alpha 90.00
_cell_angle_beta 90.00
_cell_angle_gamma 120.00
_symmetry_space_group_name_H-M 'R -3 m'
_symmetry_Int_Tables_number 166
_symmetry_space_group_name_Hall '-R 3 2"'
loop_
_atom_site_label
_atom_site_type_symbol
_atom_site_fract_x
_atom_site_fract_y
_atom_site_fract_z
_atom_site_occupancy
La1 La 0.0000 0.0000 0.0000 1
Ta1 Ta 0.0000 0.0000 0.5000 1
Cr1 Cr 0.0000 0.0000 0.2459 1
```

Computed properties:
- Energy of formation: 799 meV per atom
- Excess energy over the best structure of this formula in the dataset: 0.19 eV per formula unit

=====

[6]
## YReI2O (SCAN)

Data for YReI2O at its PBEsol-relaxed geometry.

CIF file:
```
data_YReI2O
_cell_length_a 6.086
_cell_length_b 6.086
_cell_length_c 4.120
_cell_angle_alpha 90.00
_cell_angle_beta 90.00
_cell_angle_gamma 90.00
_symmetry_space_group_name_H-M 'P 4/m m m'
_symmetry_Int_Tables_number 123
_symmetry_space_group_name_Hall '-P 4 2'
loop_
_atom_site_label
_atom_site_type_symbol
_atom_site_fract_x
_atom_site_fract_y
_atom_site_fract_z
_atom_site_occupancy
Y1 Y 0.000 0.000 0.000 1
Re1 Re 0.500 0.500 0.500 1
I1 I 0.000 0.500 0.000 1
O1 O 0.000 0.000 0.500 1
```

Computed properties:
- E_form (uncorrected): -0.160 eV per atom

=====

[7]
## CsTaTi3 (SCAN)

Data for CsTaTi3 at its PBEsol-relaxed geometry.

CIF file:
```
data_CsTaTi3
_cell_length_a 5.021
_cell_length_b 5.021
_cell_length_c 5.021
_cell_angle_alpha 90.00
_cell_angle_beta 90.00
_cell_angle_gamma 90.00
_symmetry_space_group_name_H-M 'P m -3 m'
_symmetry_Int_Tables_number 221
_symmetry_space_group_name_Hall '-P 4 2 3'
loop_
_atom_site_label
_atom_site_type_symbol
_atom_site_fract_x
_atom_site_fract_y
_atom_site_fract_z
_atom_site_occupancy
Cs1 Cs 0.000 0.000 0.000 1
Ta1 Ta 0.500 0.500 0.500 1
Ti1 Ti 0.000 0.500 0.500 1
```

Computed properties:
- Energy of formation: 1298 meV per atom

=====

[8]
## Al3Cr (SCAN)

Data for Al3Cr at its PBEsol-relaxed geometry.

CIF file:
```
data_Al3Cr
_cell_length_a 2.681
_cell_length_b 4.418
_cell_length_c 4.707
_cell_angle_alpha 90.00
_cell_angle_beta 90.00
_cell_angle_gamma 90.00
_symmetry_space_group_name_H-M 'P m m 2'
_symmetry_Int_Tables_number 25
_symmetry_space_group_name_Hall 'P 2 -2'
loop_
_atom_site_label
_atom_site_type_symbol
_atom_site_fract_x
_atom_site_fract_y
_atom_site_fract_z
_atom_site_occupancy
Al1 Al 0.000 0.000 0.000 1
Al2 Al 0.000 0.500 0.328 1
Al3 Al 0.500 0.000 0.514 1
Cr1 Cr 0.500 0.500 0.822 1
```

Computed properties:
- Energy of formation: -66 meV per atom

=====

no.,calculated total energy (Ha/atom),volume (Å³ per atom)
1,-0.72350,19.304
2,-0.70435,22.484
3,-1.26630,37.924
4,-0.41470,11.789
5,-1.31617,16.659
6,-1.31898,30.518
7,-1.07302,25.315
8,-0.38500,13.939